Record 1
Density functional theory data (PBE) for an optimized crystal structure of Tb6Tl2Te.

Cell: 4.0466 14.9963 8.6600 Å, 90.00 90.00 90.00°
Space group Amm2 (No. 38)
One atom of each set of equivalent atoms:
Tb1 0.0000 0.0000 0.0000
Tb2 0.0000 0.1375 0.5865
Tb3 0.5000 0.0000 0.3327
Tb4 0.5000 0.1958 0.9202
Tl1 0.0000 0.1668 0.2243
Te1 0.5000 0.0000 0.7247

Properties
- energy relative to the elements, uncorrected (meV/atom) = -453

Record 2
Density functional theory data (PBE) for an optimized crystal structure of Tb6Tl5Te.

Cell: 5.1723 15.4733 8.2881 Å, 90.00 90.17 90.00°
Space group C2/m (No. 12)
One atom of each set of equivalent atoms:
Tb1 0.0006 0.0000 0.2545
Tb2 0.0006 0.3372 0.2482
Tl1 0.0000 0.1674 0.0000
Tl2 0.0000 0.1759 0.5000
Tl3 0.0000 0.5000 0.0000
Te1 0.0000 0.5000 0.5000

Properties
- energy relative to the elements, uncorrected (meV/atom) = -446

Record 3
Density functional theory data (PBE) for an optimized crystal structure of Tb4TlTe.

Cell: 7.4037 4.6807 21.0885 Å, 90.00 90.00 90.00°
Space group Pnma (No. 62)
One atom of each set of equivalent atoms:
Tb1 0.0530 0.2500 0.0775
Tb2 0.0713 0.2500 0.3586
Tb3 0.0851 0.2500 0.7830
Tb4 0.1405 0.2500 0.5282
Tl1 0.2146 0.2500 0.9289
Te1 0.2045 0.2500 0.2158

Properties
- polymorph energy (0 for the lowest one) (eV/f.u.) = 0.00
- energy relative to the elements, uncorrected (meV/atom) = -517

Record 4
Density functional theory data (PBE) for an optimized crystal structure of Tb8Tl3Te4.

Cell: 12.3075 12.3198 8.6319 Å, 90.00 134.37 90.00°
Space group C2/m (No. 12)
One atom of each set of equivalent atoms:
Tb1 0.0000 0.2452 0.0000
Tb2 0.0000 0.2506 0.5000
Tb3 0.2413 0.0000 0.9913
Tb4 0.2431 0.0000 0.4859
Tl1 0.0000 0.0000 0.5000
Tl2 0.2500 0.2500 0.5000
Te1 0.0000 0.5000 0.0000
Te2 0.0000 0.5000 0.5000
Te3 0.2500 0.2500 0.0000

Properties
- energy relative to the elements, uncorrected (meV/atom) = -771